(1)
Fe2PdRh8: optimized geometry, PBE. Values from VASP.

Results
Its calculated total energy is -78.3 eV per cell. As for the formation energy: 236 meV/atom. The value obtained for the density is 10.8 g/cm³. Its magnetization is 6.16 Bohr magnetons per cell.

```
&SYSTEM
  ibrav = 0, nat = 11, ntyp = 3
/
ATOMIC_SPECIES
Rh 102.91 Rh.upf
Fe 55.84 Fe.upf
Pd 106.42 Pd.upf
CELL_PARAMETERS angstrom
-2.356 -3.214 0.602
4.880 -3.857 -1.508
0.542 0.791 6.328
ATOMIC_POSITIONS crystal
Rh 0.500 0.663 0.663
Rh 0.000 0.693 0.964
Rh 0.000 0.307 0.036
Rh 0.000 0.036 0.307
Rh 0.500 0.742 0.258
Rh 0.000 0.964 0.693
Rh 0.500 0.337 0.337
Rh 0.500 0.258 0.742
Fe 0.000 0.616 0.384
Fe 0.000 0.384 0.616
Pd 0.500 0.000 0.000
```



(2)
Ni2MoPb: optimized geometry, PBE. Values from VASP.

Results
Its calculated total energy is -24.1 eV per cell. As for the formation energy: 501 meV/atom. The value obtained for the density is 10.6 g/cm³. Its magnetization is 0.00 Bohr magnetons per cell.

```
&SYSTEM
  ibrav = 0, nat = 4, ntyp = 3
/
ATOMIC_SPECIES
Mo 95.94 Mo.upf
Ni 58.69 Ni.upf
Pb 207.20 Pb.upf
CELL_PARAMETERS angstrom
8.763 0.008 0.005
8.252 2.946 0.005
8.252 1.433 2.574
ATOMIC_POSITIONS crystal
Mo 0.750 0.750 0.750
Ni 0.491 0.491 0.491
Ni 0.009 0.009 0.009
Pb 0.250 0.250 0.250
```



(3)
Y2Ni4Ge3Au: optimized geometry, PBE. Values from VASP.

Results
Its calculated total energy is -59.2 eV per cell. As for the formation energy: -601 meV/atom. The value obtained for the density is 8.2 g/cm³. Its magnetization is 0.00 Bohr magnetons per cell.

```
&SYSTEM
  ibrav = 0, nat = 10, ntyp = 4
/
ATOMIC_SPECIES
Ge 72.64 Ge.upf
Ni 58.69 Ni.upf
Y 88.91 Y.upf
Au 196.97 Au.upf
CELL_PARAMETERS angstrom
-0.463 3.622 1.799
-2.001 -1.779 3.067
8.680 -1.323 4.898
ATOMIC_POSITIONS crystal
Ge 0.500 0.000 0.876
Ge 0.000 0.000 0.500
Ge 0.000 0.500 0.124
Ni 0.500 0.000 0.647
Ni 0.000 0.000 0.000
Ni 0.500 0.500 0.000
Ni 0.000 0.500 0.353
Y 0.500 0.000 0.246
Y 0.000 0.500 0.754
Au 0.500 0.500 0.500
```



(4)
MgAgPdPb: optimized geometry, PBE. Values from VASP.

Results
Its calculated total energy is -14.3 eV per cell. As for the formation energy: -243 meV/atom. The value obtained for the density is 9.4 g/cm³. Its magnetization is 0.00 Bohr magnetons per cell.

```
&SYSTEM
  ibrav = 0, nat = 4, ntyp = 4
/
ATOMIC_SPECIES
Mg 24.30 Mg.upf
Pd 106.42 Pd.upf
Pb 207.20 Pb.upf
Ag 107.87 Ag.upf
CELL_PARAMETERS angstrom
4.803 0.000 0.000
2.402 4.160 0.000
2.402 1.387 3.922
ATOMIC_POSITIONS crystal
Mg 0.500 0.500 0.500
Pd 0.750 0.750 0.750
Pb 0.000 0.000 0.000
Ag 0.250 0.250 0.250
```



(5)
Pa2Be4FeSi3: optimized geometry, PBE. Values from VASP.

Results
Its calculated total energy is -62.0 eV per cell. The value obtained for the density is 7.6 g/cm³. Its magnetization is 0.14 Bohr magnetons per cell.

```
&SYSTEM
  ibrav = 0, nat = 10, ntyp = 4
/
ATOMIC_SPECIES
Pa 231.04 Pa.upf
Be 9.01 Be.upf
Si 28.09 Si.upf
Fe 55.84 Fe.upf
CELL_PARAMETERS angstrom
3.879 0.000 0.000
0.000 3.879 0.000
0.000 0.000 9.267
ATOMIC_POSITIONS crystal
Pa 0.000 0.500 0.738
Pa 0.500 0.000 0.262
Be 0.500 0.500 0.000
Be 0.000 0.500 0.379
Be 0.500 0.000 0.621
Be 0.000 0.000 0.000
Si 0.500 0.000 0.865
Si 0.000 0.000 0.500
Si 0.000 0.500 0.135
Fe 0.500 0.500 0.500
```



(6)
Cs3CaBi2S6: optimized geometry, PBE. Values from VASP.

Results
Its calculated total energy is -48.5 eV per cell. The value obtained for the density is 4.7 g/cm³. Its magnetization is 0.00 Bohr magnetons per cell.

```
&SYSTEM
  ibrav = 0, nat = 12, ntyp = 4
/
ATOMIC_SPECIES
S 32.06 S.upf
Cs 132.91 Cs.upf
Bi 208.98 Bi.upf
Ca 40.08 Ca.upf
CELL_PARAMETERS angstrom
7.288 -0.001 0.000
-3.643 6.312 0.000
-1.215 -2.104 8.062
ATOMIC_POSITIONS crystal
S 0.937 0.599 0.813
S 0.063 0.401 0.187
S 0.277 0.277 0.814
S 0.723 0.723 0.186
S 0.599 0.937 0.813
S 0.401 0.063 0.187
Cs 0.500 0.500 0.500
Cs 0.835 0.165 0.500
Cs 0.165 0.835 0.500
Bi 0.333 0.667 0.000
Bi 0.667 0.333 0.000
Ca 0.000 0.000 0.000
```